Computed, not measured: a geometry-optimized CrAg2F structure at the GGA+U level of DFT.

Computed properties:
The value obtained for the energy above the most stable polymorph in this dataset is 0 meV/atom. Its symmetry is I-42d, No. 122. As for the total energy: -65.07 eV/cell. The density of states at the Fermi level comes out at 5.1 states/eV per cell.

Lattice parameters (Å, degrees): 8.943 8.943 4.027 90.00 90.00 90.00
Fractional coordinates of all 16 atoms:
Cr: 0.000 0.000 0.000
Cr: 0.000 0.500 0.250
Cr: 0.500 0.000 0.750
Cr: 0.500 0.500 0.500
Ag: 0.152 0.750 0.625
Ag: 0.250 0.152 0.375
Ag: 0.250 0.348 0.875
Ag: 0.348 0.750 0.125
Ag: 0.652 0.250 0.125
Ag: 0.750 0.652 0.875
Ag: 0.750 0.848 0.375
Ag: 0.848 0.250 0.625
F: 0.000 0.000 0.500
F: 0.000 0.500 0.750
F: 0.500 0.000 0.250
F: 0.500 0.500 0.000